Entry from Alexandria: a geometry-optimized Li structure (PBE).

Cell lengths 4.161, 4.161, 4.161 Å; angles 60.00, 60.00, 60.00 degrees
Element x y z (fractional)
Li: 0.000 0.000 0.000
Li: 0.750 0.750 0.750

For the formation enthalpy at 0 K, the calculation gives 50 kJ/mol of formula units. The density of states at the Fermi level comes out at 0.39 states/eV/atom. The final energy comes out at -1.39 eV per atom. The energy above the lowest structure with this stoichiometry comes out at 0.5225 eV per atom.